(1)
Computed, not measured: an optimized crystal structure of LiPm4Sn2 at the PBE-GGA level of DFT.

a = 5.3392 Å, b = 5.3392 Å, c = 26.7502 Å
α = 90.00°, β = 90.00°, γ = 120.00°
Space group R-3m (No. 166, hexagonal axes)
Symmetry-distinct sites (fractional):
1 Li 0.0000 0.0000 0.0000 x3
2 Pm 0.0000 0.0000 0.2150 x6
3 Pm 0.0000 0.0000 0.3733 x6
4 Sn 0.0000 0.0000 0.0952 x6

D(E_F) in states/eV/atom: 0.702
ΔH_f (0 K) in meV/atom: -328


(2)
Computed, not measured: an optimized crystal structure of LiPm6Sn6 at the PBE-GGA level of DFT.

a = 7.5281 Å, b = 7.5281 Å, c = 9.0330 Å
α = 90.00°, β = 90.00°, γ = 120.00°
Space group P6/mmm (No. 191)
Symmetry-distinct sites (fractional):
1 Li 0.0000 0.0000 0.0000 x1
2 Pm 0.0000 0.5000 0.2511 x6
3 Sn 0.0000 0.0000 0.3375 x2
4 Sn 0.3333 0.6667 0.0000 x2
5 Sn 0.3333 0.6667 0.5000 x2

D(E_F) in states/eV/atom: 1.390
ΔH_f (0 K) in meV/atom: -307


(3)
Computed, not measured: an optimized crystal structure of Li3PmSn3 at the PBE-GGA level of DFT.

a = 9.8204 Å, b = 9.8204 Å, c = 4.4007 Å
α = 90.00°, β = 90.00°, γ = 120.00°
Space group P6_3/m (No. 176)
Symmetry-distinct sites (fractional):
1 Li 0.0680 0.7601 0.2500 x6
2 Pm 0.3333 0.6667 0.7500 x2
3 Sn 0.0542 0.4430 0.2500 x6

D(E_F) in states/eV/atom: 0.094
ΔH_f (0 K) in meV/atom: -419
Excess energy over the best structure of this formula in the dataset in meV/atom: 0


(4)
Computed, not measured: an optimized crystal structure of LiPm6Sn4 at the PBE-GGA level of DFT.

a = 9.8272 Å, b = 9.8272 Å, c = 4.2802 Å
α = 90.00°, β = 90.00°, γ = 120.00°
Space group P-6m2 (No. 187)
Symmetry-distinct sites (fractional):
1 Li 0.0000 0.0000 0.0000 x1
2 Pm 0.0719 0.5359 0.0000 x3
3 Pm 0.3848 0.1924 0.5000 x3
4 Sn 0.1732 0.3465 0.5000 x3
5 Sn 0.6667 0.3333 0.0000 x1

D(E_F) in states/eV/atom: 0.878
ΔH_f (0 K) in meV/atom: -393


> The lowest ΔH_f (0 K) belongs to which entry?

Li3PmSn3


> Look up the ΔH_f (0 K) of the fourth one.

-393 meV/atom